Record 1
Y3SnAu | Alexandria via LeMat-Bulk | PBE | optimized geometry; E_form = -1.4 eV per formula unit; E = -28.0 eV per cell; energy above the lowest structure with this stoichiometry = 0 meV/atom; size of the total moment = 0.000 Bohr magnetons per cell; space-group type = Pm-3m (221)
1.0
5.472 0.000 0.000
0.000 5.472 0.000
0.000 0.000 5.472
Y Au Sn
3 1 1
Cartesian
0.000 2.736 0.000
0.000 0.000 2.736
2.736 0.000 0.000
0.000 0.000 0.000
2.736 2.736 2.736

---

Record 2
Y3Sn4Au3 | Alexandria via LeMat-Bulk | PBE | optimized geometry; E_form = -6.7 eV per formula unit; E = -103.8 eV per cell; size of the total moment = 0.000 Bohr magnetons per cell; space-group type = I-43d (220)
1.0
-5.050 -2.214 6.637
7.477 -4.274 0.524
1.517 8.491 0.248
Y Sn Au
6 8 6
Cartesian
3.779 2.840 4.758
-1.601 2.301 6.093
2.552 0.243 1.088
0.179 5.003 2.740
5.470 -3.232 2.149
1.455 -1.148 5.398
0.494 2.764 0.081
0.667 1.747 3.613
-1.837 -0.758 4.611
1.252 7.009 0.204
-0.430 -3.965 5.741
4.406 -0.390 3.875
2.095 -2.858 2.422
5.186 2.458 1.679
5.546 -0.298 1.315
0.165 -0.838 2.651
3.766 -3.001 4.668
1.392 1.759 6.321
2.490 3.150 2.010
-1.525 5.234 5.260

---

Record 3
YSnAu6 | Alexandria via LeMat-Bulk | PBE | optimized geometry; E_form = -3.0 eV per formula unit; E = -33.1 eV per cell; size of the total moment = 0.000 Bohr magnetons per cell; space-group type = C2/m (12)
1.0
-2.069 1.560 -3.659
1.270 -2.388 -4.483
-6.123 -4.774 -1.319
Y Sn Au
1 1 6
Cartesian
-2.427 -3.581 -2.901
0.000 0.000 0.000
-3.303 -4.648 -5.608
-5.318 -3.326 -3.905
-0.755 -1.092 -2.786
-1.605 -2.276 -5.557
-3.620 -0.953 -3.853
-6.168 -4.510 -6.675